No. 1
Tb4Zn5Cd (GGA-PBE, optimized geometry); total moment = 0.0 μB/f.u.; energy of formation from the pure elements = -274 meV per atom
1.0
3.5587 0.0000 0.0000
0.0000 3.5587 0.0000
0.0000 0.0000 17.4743
Tb Zn Cd
4 5 1
Cartesian
0.0000 0.0000 3.3732
0.0000 0.0000 6.9391
0.0000 0.0000 10.5352
0.0000 0.0000 14.1011
1.7793 1.7793 1.5467
1.7793 1.7793 5.1688
1.7793 1.7793 8.7371
1.7793 1.7793 12.3055
1.7793 1.7793 15.9276
0.0000 0.0000 0.0000

No. 2
Tb3ZnCd (GGA-PBE, optimized geometry); total moment = 0.0 μB/f.u.; energy of formation from the pure elements = -234 meV per atom
1.0
5.0499 0.0000 1.1540
0.0000 5.1797 0.0000
0.3254 0.0000 10.2020
Tb Zn Cd
6 2 2
Cartesian
3.8782 1.2949 2.1931
2.2452 1.2949 9.3390
3.0619 1.2949 5.7653
1.3544 3.8848 1.6112
4.7713 3.8848 9.9112
0.5377 3.8848 5.1849
2.6511 3.8848 7.5626
0.9484 1.2949 3.3876
3.4700 3.8848 3.9793
5.1795 1.2949 8.1250

No. 3
Tb2Zn4Cd3 (GGA-PBE, optimized geometry); total moment = 0.0 μB/f.u.; energy of formation from the pure elements = -209 meV per atom
1.0
-5.3568 2.4708 0.0451
-3.1287 -6.8182 1.9159
3.5911 0.5969 7.9886
Tb Zn Cd
4 8 6
Cartesian
-1.7014 -3.7383 2.7210
-3.1931 -0.0121 7.2287
0.4180 0.7851 6.6350
-5.3125 -4.5355 3.3147
-2.9015 -2.9213 8.3325
-4.6714 0.4063 1.6398
-1.9930 -0.8291 1.6172
-0.2231 -4.1567 8.3099
-2.7751 -6.0991 4.5238
-2.1194 2.3487 5.4259
-0.8996 -2.0654 6.2965
-3.9949 -1.6850 3.6531
0.0000 0.0000 0.0000
-4.2428 -2.1737 0.9805
-3.2066 -3.5339 5.6544
-4.3663 1.0189 4.3178
-1.6879 -0.2165 4.2953
-0.5282 -4.7693 5.6318

No. 4
TbZn9Cd2 (GGA-PBE, optimized geometry); total moment = 0.0 μB/f.u.; energy of formation from the pure elements = -120 meV per atom
1.0
5.0994 0.0000 1.5177
2.3239 4.5391 1.5177
0.1146 0.0701 8.9409
Tb Zn Cd
1 9 2
Cartesian
0.0000 0.0000 0.0000
5.0672 3.0985 10.9515
2.4706 1.5107 1.0247
3.7689 2.3046 5.9881
3.1027 1.8972 3.5186
5.6770 1.8972 4.2847
4.2758 4.1887 4.2847
4.4351 2.7119 8.4576
3.2619 0.4205 7.6915
1.8608 2.7119 7.6915
6.4475 3.9425 6.3136
1.0902 0.6667 5.6626

No. 5
Tb2ZnCd3 (GGA-PBE, optimized geometry); ΔE to the lowest computed polymorph = 0.119 eV/atom; total moment = 0.0 μB/f.u.; energy of formation from the pure elements = -197 meV per atom
1.0
4.7351 0.0000 -1.2604
-0.2569 3.3962 -0.9652
-0.1232 0.7210 9.0618
Tb Zn Cd
2 1 3
Cartesian
0.4995 0.5711 1.8766
4.0274 1.8978 5.6057
1.7291 3.8219 6.4960
3.1415 2.7299 2.2774
2.4479 1.9369 -0.3282
1.0910 3.0923 4.0985

No. 6
Tb4Zn2Cd5 (GGA-PBE, optimized geometry); total moment = 0.0 μB/f.u.; energy of formation from the pure elements = -278 meV per atom
1.0
3.6494 0.0000 0.0000
0.0000 7.6451 0.0311
0.0000 -0.6990 9.6959
Tb Zn Cd
4 2 5
Cartesian
1.8247 5.3235 5.4680
1.8247 0.7001 8.4179
1.8247 1.6226 4.2590
1.8247 6.2460 1.3090
0.0000 0.0214 6.1058
0.0000 6.9247 3.6211
0.0000 4.0679 3.0178
0.0000 1.2919 1.5123
0.0000 3.8226 0.0155
0.0000 5.6542 8.2147
0.0000 2.8782 6.7091

No. 7
Tb3Zn8Cd3 (GGA-PBE, optimized geometry); total moment = 0.0 μB/f.u.; energy of formation from the pure elements = -303 meV per atom
1.0
4.4762 0.0000 0.0000
2.2381 8.1067 0.4011
2.2381 2.5930 7.6913
Tb Zn Cd
3 8 3
Cartesian
4.4762 5.3499 4.0462
4.4762 2.2018 1.6653
4.4762 8.4980 6.4271
4.4762 2.2789 4.8265
4.4762 8.4209 3.2659
4.4762 5.2646 0.8788
4.4762 5.4352 7.2136
6.7142 7.8660 4.4110
2.2381 2.8337 3.6813
6.7142 6.3860 6.3680
2.2381 4.3138 1.7244
2.2381 0.0000 0.0000
2.2381 6.9728 1.9004
2.2381 3.7270 6.1920

No. 8
Tb3Zn3Cd (GGA-PBE, optimized geometry); total moment = 0.0 μB/f.u.; energy of formation from the pure elements = -286 meV per atom
1.0
-2.7884 -3.5882 -0.3029
1.6739 -1.0477 -2.9987
6.9164 -3.0826 7.0872
Tb Zn Cd
3 3 1
Cartesian
4.6557 -3.7669 1.7654
1.0612 -3.8793 1.9477
0.1103 -0.0937 0.0943
2.6224 -2.0401 0.0271
3.1146 -5.6232 3.7032
0.3280 -3.0697 -0.8940
5.5134 -4.6823 4.7135

No. 9
Tb8Zn2Cd (GGA-PBE, optimized geometry); total moment = 0.0 μB/f.u.; energy of formation from the pure elements = -133 meV per atom
1.0
5.1130 0.0000 0.0000
0.0000 7.1679 0.0907
-2.5565 -2.9584 8.3957
Tb Zn Cd
8 2 1
Cartesian
0.0000 1.3948 6.8877
2.5565 5.9472 2.9900
2.5565 3.1556 5.2077
2.5565 -1.0935 7.9121
0.0000 1.0539 3.2787
0.0000 -1.7377 5.4964
2.5565 2.8147 1.5987
0.0000 5.3030 0.5743
2.5565 0.2787 5.3169
0.0000 3.9308 3.1695
2.5565 0.0000 0.0000

No. 10
TbZn6Cd6 (GGA-PBE, optimized geometry); total moment = 0.0 μB/f.u.; energy of formation from the pure elements = -113 meV per atom
1.0
5.1847 0.0000 2.0723
2.5862 6.6516 1.0517
0.1242 -0.1425 7.2112
Tb Zn Cd
1 6 6
Cartesian
0.0000 0.0000 0.0000
1.2931 3.3258 0.5259
3.8854 3.3258 1.5620
0.0621 -0.0712 3.6056
2.6545 -0.0712 4.6418
4.6205 5.1116 3.4840
3.2746 1.3975 6.8513
3.5652 4.2603 6.1242
4.3299 2.2488 4.2111
0.9734 2.2010 5.0867
1.7370 4.3081 3.1763
2.1063 1.2786 2.2522
5.7888 5.2305 8.0831

No. 11
Tb6ZnCd3 (GGA-PBE, optimized geometry); total moment = 0.0 μB/f.u.; energy of formation from the pure elements = -220 meV per atom
1.0
5.2972 0.0000 0.0000
0.0000 8.6739 -2.9516
0.0000 0.0263 11.6519
Tb Zn Cd
12 2 6
Cartesian
1.3243 4.0589 -0.3584
3.9729 4.6413 9.0587
1.3243 1.1652 1.4466
3.9729 7.5350 7.2536
1.3243 5.7991 5.8570
3.9729 2.9011 2.8433
1.3243 2.0714 5.0731
3.9729 6.6288 3.6271
1.3243 7.3965 1.1927
3.9729 1.3037 7.5076
1.3243 0.8717 9.8177
3.9729 7.8285 -1.1174
1.3243 8.3156 4.1290
3.9729 0.3846 4.5713
1.3243 4.5959 2.8165
3.9729 4.1043 5.8838
1.3243 3.4009 7.9346
3.9729 5.2993 0.7657
1.3243 6.7219 9.0681
3.9729 1.9783 -0.3678

No. 12
Tb3Zn2Cd3 (GGA-PBE, optimized geometry); total moment = 0.0 μB/f.u.; energy of formation from the pure elements = -300 meV per atom
1.0
-2.5816 -1.7606 -2.2141
-4.3962 -1.2198 6.0957
-0.8395 6.3696 -4.0860
Tb Zn Cd
3 2 3
Cartesian
-3.4098 1.2040 -0.2937
-3.9077 -1.6064 2.5215
-1.7905 2.9113 -3.5394
-2.0251 3.8398 -0.6921
-3.2107 1.3100 2.7018
-4.0039 3.9381 1.5368
-1.0344 -0.2870 1.4342
-0.1975 1.4987 -0.9614

No. 13
Tb12ZnCd6 (GGA-PBE, optimized geometry); total moment = 0.0 μB/f.u.; energy of formation from the pure elements = -110 meV per atom
1.0
-6.4465 -0.0325 4.8645
-4.3692 -4.0076 -5.4837
2.1731 -7.1048 3.1655
Tb Zn Cd
12 1 6
Cartesian
-6.5428 -5.3180 2.3922
-5.2160 -7.0210 -0.5582
-3.6304 -7.5062 2.7000
-2.0996 -5.8269 0.1541
-3.4265 -4.1239 3.1044
-5.0121 -3.6387 -0.1537
0.0366 -3.1620 0.4172
-6.1472 -9.5733 3.7617
-6.5583 -10.0203 0.4096
-8.6791 -7.9829 2.1291
-2.4953 -1.5716 -1.2154
-2.0842 -1.1246 2.1367
0.0000 0.0000 0.0000
-8.0447 -5.4653 -0.4845
-5.6769 -1.8703 2.4650
-3.3425 -4.8520 -2.6623
-0.5978 -5.6796 3.0307
-2.9656 -9.2746 0.0813
-5.3000 -6.2930 5.2085

No. 14
Tb2ZnCd5 (GGA-PBE, optimized geometry); total moment = 0.0 μB/f.u.; energy of formation from the pure elements = -64 meV per atom
1.0
4.4281 0.0000 1.4014
1.9923 3.9546 1.4014
-1.1239 -0.6923 11.2482
Tb Zn Cd
2 1 5
Cartesian
-0.2450 -0.1509 8.4710
5.5415 3.4132 5.5800
0.0000 0.0000 0.0000
2.6482 1.6312 7.0255
1.2935 0.7967 11.3062
4.0030 2.4656 2.7447
0.7957 0.4901 5.1826
4.5008 2.7722 8.8684

No. 15
Tb2ZnCd (GGA-PBE, optimized geometry); ΔE to the lowest computed polymorph = 0.000 eV/atom; total moment = 0.0 μB/f.u.; energy of formation from the pure elements = -332 meV per atom
1.0
-2.6020 2.3806 -0.7918
0.5023 -0.6233 -3.5247
-5.1421 -5.5383 0.2465
Zn Tb Cd
1 2 1
Cartesian
-1.0498 0.8787 -2.1582
-3.9592 -4.2642 0.1898
-1.1829 -1.2741 0.0567
-3.6209 -1.8904 -2.0350

No. 16
Tb3Zn4Cd (GGA-PBE, optimized geometry); total moment = 0.0 μB/f.u.; energy of formation from the pure elements = -306 meV per atom
1.0
4.6988 0.0000 1.3870
2.1447 4.1808 1.3870
-0.0616 -0.0376 8.8611
Zn Tb Cd
4 3 1
Cartesian
5.9378 3.6275 5.8421
2.5166 1.5374 8.7795
0.8441 0.5156 5.7930
4.2652 2.6057 2.8556
1.7481 1.0679 2.7305
5.0337 3.0752 8.9047
3.3909 2.0716 5.8176
0.0000 0.0000 0.0000

No. 17
TbZrZnCd (GGA-PBE, optimized geometry); ΔE to the lowest computed polymorph = 0.000 eV/atom; total moment = 0.0 μB/f.u.; energy of formation from the pure elements = -218 meV per atom
1.0
-3.4420 -0.3826 -0.4404
0.5831 -2.1794 -2.6642
0.0358 -5.6633 4.6405
Tb Zr Zn Cd
1 1 1 1
Cartesian
-1.4006 -5.8379 2.1816
-1.4172 -3.2102 0.0285
0.0197 -3.1122 2.5501
0.0032 -0.5090 0.4171

No. 18
TbZrZnCd (GGA-PBE, optimized geometry); ΔE to the lowest computed polymorph = 0.060 eV/atom; total moment = 0.5 μB/f.u.; energy of formation from the pure elements = -158 meV per atom
1.0
5.0290 0.0000 0.0000
2.5145 4.3552 0.0000
2.5145 1.4517 4.1061
Zn Tb Zr Cd
1 1 1 1
Cartesian
2.5145 1.4517 1.0265
5.0290 2.9035 2.0531
0.0000 0.0000 0.0000
7.5435 4.3552 3.0796

No. 19
Tb2ZrCd (GGA-PBE, optimized geometry); ΔE to the lowest computed polymorph = 0.110 eV/atom; total moment = 0.0 μB/f.u.; energy of formation from the pure elements = -7 meV per atom
1.0
-2.1392 1.5312 2.2472
0.4448 -4.3588 3.3935
4.3329 2.3871 2.4982
Tb Zr Cd
2 1 1
Cartesian
2.1664 1.1936 1.2491
0.2224 -2.1794 1.6968
1.3192 -0.2202 4.0695
-1.0696 0.7656 1.1236

No. 20
Tb2ZrCd (GGA-PBE, optimized geometry); ΔE to the lowest computed polymorph = 0.000 eV/atom; total moment = 0.0 μB/f.u.; energy of formation from the pure elements = -116 meV per atom
1.0
3.4443 0.0000 0.0000
0.0000 3.4443 0.0000
0.0000 0.0000 9.0355
Tb Zr Cd
2 1 1
Cartesian
0.0000 0.0000 6.8119
0.0000 0.0000 2.2236
1.7222 1.7222 4.5177
1.7222 1.7222 0.0000